Entry 1:
First-principles (PBE-GGA) data for LiTbPaO4 after structural relaxation, as listed in the Alexandria database.

Geometry as POSCAR:
```
LiTbPaO4
1.0
-1.424 4.996 4.634
-3.051 -6.184 0.501
6.676 0.610 1.395
Li Tb Pa O
2 2 2 8
direct
0.904 0.808 0.154
0.096 0.192 0.846
0.500 0.000 0.500
0.500 0.000 0.000
0.500 0.500 0.500
0.000 0.500 0.500
0.736 0.471 0.701
0.294 0.040 0.270
0.746 0.040 0.270
0.736 0.471 0.270
0.264 0.529 0.730
0.706 0.960 0.730
0.254 0.960 0.730
0.264 0.529 0.299
```

Computed properties:
formation energy without anion corrections	-3.00	eV per atom
crystal system	orthorhombic
mass density	6559	kg/m³
space group	Imma, No. 74

=====

Entry 2:
First-principles (PBE-GGA) data for FeSbSN2 after structural relaxation, as listed in the Alexandria database.

Geometry as POSCAR:
```
FeSbSN2
1.0
-2.878 2.640 -0.539
0.368 -0.396 -3.906
-3.583 -3.894 0.057
Sb S Fe N
1 1 1 2
direct
0.000 0.000 0.000
0.000 0.000 0.500
0.500 0.500 0.500
0.000 0.500 0.000
0.500 0.000 0.000
```

Computed properties:
energy relative to the lowest polymorph listed for this composition	0.5732	eV per atom
formation energy without anion corrections	1.39	eV per atom
crystal system	tetragonal
mass density	4798	kg/m³
space group	P4/mmm, No. 123

=====

Entry 3:
First-principles (PBE-GGA) data for Sm3Au after structural relaxation, as listed in the Alexandria database.

Geometry as POSCAR:
```
Sm3Au
1.0
-0.348 -2.877 -2.486
0.902 -3.552 3.985
-5.832 2.980 0.299
Au Sm
1 3
direct
0.000 0.919 0.000
0.287 0.702 0.574
0.500 0.416 0.000
0.713 0.129 0.426
```

Computed properties:
energy relative to the lowest polymorph listed for this composition	0.0486	eV per atom
crystal system	orthorhombic
DFT formation energy	-0.358	eV per atom
mass density	9201	kg/m³
space group	Imm2, No. 44